[1]
First-principles (PBE-GGA) data for a relaxed DyEr2Ag3S6 crystal, as listed in the Alexandria database.

a = 15.5058 Å, b = 4.0150 Å, c = 9.5878 Å
α = 90.00°, β = 106.65°, γ = 90.00°
Space group C2/m (No. 12)
Inequivalent atoms, fractional coordinates:
Dy1 0.0000 0.0000 0.0000 (multiplicity 2)
Er1 0.1655 0.5000 0.3355 (multiplicity 4)
Ag1 0.0000 0.0000 0.5000 (multiplicity 2)
Ag2 0.1757 0.5000 0.9352 (multiplicity 4)
S1 0.0105 0.5000 0.8086 (multiplicity 4)
S2 0.1573 0.0000 0.5193 (multiplicity 4)
S3 0.1830 0.0000 0.1458 (multiplicity 4)

Output
Magnetization (μB per atom): 0.00
Energy (eV/atom): -5.227
E_form (uncorrected) (eV per atom): -1.307

***

[2]
First-principles (PBE-GGA) data for a relaxed Dy2ErAg3S6 crystal, as listed in the Alexandria database.

a = 15.3759 Å, b = 4.0607 Å, c = 11.7405 Å
α = 90.00°, β = 117.84°, γ = 90.00°
Space group C2/m (No. 12)
Inequivalent atoms, fractional coordinates:
Dy1 0.1662 0.0000 0.3325 (multiplicity 4)
Er1 0.0000 0.5000 0.0000 (multiplicity 2)
Ag1 0.0000 0.5000 0.5000 (multiplicity 2)
Ag2 0.1681 0.0000 0.8367 (multiplicity 4)
S1 0.0242 0.0000 0.8618 (multiplicity 4)
S2 0.1432 0.5000 0.4739 (multiplicity 4)
S3 0.1892 0.5000 0.1910 (multiplicity 4)

Output
Magnetization (μB per atom): 0.00
Energy (eV/atom): -5.234
E_form (uncorrected) (eV per atom): -1.311

***

[3]
First-principles (PBE-GGA) data for a relaxed DyEr4AgS8 crystal, as listed in the Alexandria database.

a = 7.9638 Å, b = 7.9638 Å, c = 19.5836 Å
α = 90.00°, β = 90.00°, γ = 120.00°
Space group R3m (No. 160, hexagonal axes)
Inequivalent atoms, fractional coordinates:
Dy1 0.0000 0.0000 0.0000 (multiplicity 3)
Er1 0.0000 0.0000 0.6210 (multiplicity 3)
Er2 0.1725 0.3449 0.8276 (multiplicity 9)
Ag1 0.0000 0.0000 0.3701 (multiplicity 3)
S1 0.0000 0.0000 0.2375 (multiplicity 3)
S2 0.0000 0.0000 0.7542 (multiplicity 3)
S3 0.0202 0.5101 0.7490 (multiplicity 9)
S4 0.1772 0.3543 0.5756 (multiplicity 9)

Output
Magnetization (μB per atom): 0.00
Energy (eV/atom): -6.027
E_form (uncorrected) (eV per atom): -1.833

***

[4]
First-principles (PBE-GGA) data for a relaxed DyErScAg crystal, as listed in the Alexandria database.

a = 7.4146 Å, b = 7.4146 Å, c = 7.4146 Å
α = 90.00°, β = 90.00°, γ = 90.00°
Space group F-43m (No. 216)
Inequivalent atoms, fractional coordinates:
Dy1 0.0000 0.0000 0.0000 (multiplicity 4)
Er1 0.0000 0.0000 0.5000 (multiplicity 4)
Sc1 0.2500 0.2500 0.7500 (multiplicity 4)
Ag1 0.2500 0.2500 0.2500 (multiplicity 4)

Output
Magnetization (μB per atom): 0.00
Energy (eV/atom): -4.559
ΔE_f (eV/atom): 0.028